--- a ---
## Li4Zn4Cu3 (GGA-PBE)

Data for an optimized crystal structure of Li4Zn4Cu3.

abc: 4.089 5.207 8.128
angles: 90.00 90.00 113.12
Fractional positions:
Li 0.606 0.213 0.500
Li 0.574 0.149 0.000
Li 0.095 0.190 0.737
Li 0.095 0.190 0.263
Zn 0.759 0.519 0.775
Zn 0.759 0.519 0.225
Zn 0.895 0.790 0.500
Zn 0.936 0.872 0.000
Cu 0.405 0.810 0.285
Cu 0.405 0.810 0.715
Cu 0.268 0.536 0.000

DOS(E_F): 3.99 states/eV/cell
Theoretical density: 5.01 g cm⁻³
Magnetic moment: 0.00 Bohr magnetons per cell
SG: Amm2

--- b ---
## Li4Zn4Cu3 (GGA-PBE)

Data for an optimized crystal structure of Li4Zn4Cu3.

abc: 2.627 3.865 14.900
angles: 97.24 92.38 89.88
Fractional positions:
Li 0.080 0.089 0.179
Li 0.304 0.276 0.552
Li 0.696 0.724 0.448
Li 0.920 0.911 0.821
Zn 0.540 0.545 0.089
Zn 0.460 0.455 0.910
Zn 0.846 0.822 0.645
Zn 0.154 0.178 0.355
Cu 0.623 0.636 0.271
Cu 0.377 0.365 0.729
Cu 0.000 0.000 0.000

DOS(E_F): 3.33 states/eV/cell
Theoretical density: 5.31 g cm⁻³
Magnetic moment: 0.00 Bohr magnetons per cell
SG: P-1

Stability, lowest: a

--- a ---
## LiZn8Cu4 (GGA-PBE)

Data for an optimized crystal structure of LiZn8Cu4.

abc: 6.795 6.795 6.795
angles: 60.00 60.00 60.00
Fractional positions:
Li 0.750 0.750 0.750
Zn 0.710 0.097 0.097
Zn 0.097 0.710 0.097
Zn 0.097 0.097 0.710
Zn 0.097 0.097 0.097
Zn 0.206 0.598 0.598
Zn 0.598 0.206 0.598
Zn 0.598 0.598 0.206
Zn 0.598 0.598 0.598
Cu 0.968 0.344 0.344
Cu 0.344 0.968 0.344
Cu 0.344 0.344 0.968
Cu 0.344 0.344 0.344

DOS(E_F): 8.11 states/eV/cell
Theoretical density: 5.87 g cm⁻³
Magnetic moment: 0.00 Bohr magnetons per cell
SG: F-43m

--- b ---
## LiZn8Cu4 (GGA-PBE)

Data for an optimized crystal structure of LiZn8Cu4.

abc: 4.991 6.623 6.623
angles: 81.84 67.86 67.86
Fractional positions:
Li 0.000 0.000 0.000
Zn 0.000 0.337 0.663
Zn 0.000 0.663 0.337
Zn 0.337 0.663 0.663
Zn 0.663 0.337 0.337
Zn 0.500 0.785 0.215
Zn 0.500 0.215 0.785
Zn 0.285 0.215 0.215
Zn 0.715 0.785 0.785
Cu 0.000 0.000 0.500
Cu 0.500 0.000 0.500
Cu 0.000 0.500 0.000
Cu 0.500 0.500 0.000

DOS(E_F): 2.27 states/eV/cell
Theoretical density: 6.93 g cm⁻³
Magnetic moment: 0.00 Bohr magnetons per cell
SG: I4/mmm

Stability, lowest: a

--- a ---
## Li3ZnCu4 (GGA-PBE)

Data for an optimized crystal structure of Li3ZnCu4.

abc: 5.315 7.114 5.390
angles: 90.00 90.00 90.00
Fractional positions:
Zn 0.000 0.815 0.500
Zn 0.500 0.315 0.500
Cu 0.000 0.314 0.000
Cu 0.000 0.314 0.500
Cu 0.250 0.065 0.256
Cu 0.250 0.565 0.744
Cu 0.500 0.814 0.500
Cu 0.500 0.814 0.000
Cu 0.750 0.565 0.744
Cu 0.750 0.065 0.256
Li 0.000 0.815 0.000
Li 0.250 0.064 0.751
Li 0.250 0.564 0.249
Li 0.500 0.315 0.000
Li 0.750 0.564 0.249
Li 0.750 0.064 0.751

DOS(E_F): 2.77 states/eV/cell
Theoretical density: 5.55 g cm⁻³
Magnetic moment: 0.00 Bohr magnetons per cell
SG: Pmna

--- b ---
## Li3ZnCu4 (GGA-PBE)

Data for an optimized crystal structure of Li3ZnCu4.

abc: 5.501 5.501 5.501
angles: 78.98 126.96 126.14
Fractional positions:
Li 0.586 0.248 0.835
Li 0.837 0.000 0.837
Li 0.586 0.752 0.338
Zn 0.318 0.500 0.818
Cu 0.091 0.753 0.844
Cu 0.091 0.247 0.338
Cu 0.572 0.251 0.321
Cu 0.070 0.749 0.321

DOS(E_F): 2.19 states/eV/cell
Theoretical density: 5.44 g cm⁻³
Magnetic moment: 0.00 Bohr magnetons per cell
SG: Imm2

Stability, lowest: b